TlInAs2: optimized geometry, PBE.

abc: 5.4645 5.4645 3.2181
angles: 90.00 90.00 90.00
Fractional positions:
Tl: 0.0000 0.0000 0.0000
In: 0.5000 0.5000 0.0000
As: 0.0000 0.5000 0.5000
As: 0.5000 0.0000 0.5000

Output
The calculation puts the energy relative to the lowest polymorph listed for this composition at 321 meV/atom. The total energy is -3.34 eV per atom. Its space group is No. 123.


TlInAs2: optimized geometry, PBE.

abc: 4.8274 4.8274 8.2568
angles: 90.00 90.00 90.00
Fractional positions:
Tl: 0.0000 0.0000 0.0000
Tl: 0.5000 0.5000 0.5000
In: 0.0000 0.0000 0.5000
In: 0.5000 0.5000 0.0000
As: 0.0000 0.5000 0.2500
As: 0.0000 0.5000 0.7500
As: 0.5000 0.0000 0.2500
As: 0.5000 0.0000 0.7500

Output
The calculation puts the energy relative to the lowest polymorph listed for this composition at 316 meV/atom. The total energy is -3.35 eV per atom. Its space group is No. 139.


TlIn2As: optimized geometry, PBE.

abc: 3.9530 4.7495 11.6199
angles: 90.00 90.00 90.00
Fractional positions:
Tl: 0.0000 0.0000 0.0000
Tl: 0.5000 0.5000 0.5000
In: 0.0000 0.0000 0.4101
In: 0.0000 0.5000 0.1988
In: 0.5000 0.0000 0.6988
In: 0.5000 0.5000 0.9101
As: 0.0000 0.5000 0.7332
As: 0.5000 0.0000 0.2332

Output
The calculation puts the energy relative to the lowest polymorph listed for this composition at 86 meV/atom. The total energy is -3.08 eV per atom. Its space group is No. 44.


TlIn2As: optimized geometry, PBE.

abc: 6.5121 9.9041 3.2877
angles: 90.00 99.75 90.00
Fractional positions:
Tl: 0.0000 0.0000 0.0000
Tl: 0.5000 0.5000 0.0000
In: 0.2500 0.2500 0.5000
In: 0.2500 0.7500 0.5000
In: 0.7500 0.2500 0.5000
In: 0.7500 0.7500 0.5000
As: 0.0000 0.5000 0.0000
As: 0.5000 0.0000 0.0000

Output
The calculation puts the energy relative to the lowest polymorph listed for this composition at 169 meV/atom. The total energy is -2.99 eV per atom. Its space group is No. 12.


TlIn2As: optimized geometry, PBE.

abc: 10.5538 4.0629 5.7694
angles: 90.00 114.10 90.00
Fractional positions:
Tl: 0.0000 0.0000 0.0000
Tl: 0.5000 0.5000 0.0000
In: 0.2132 0.0000 0.7573
In: 0.4032 0.0000 0.3748
In: 0.7132 0.5000 0.7573
In: 0.9032 0.5000 0.3748
As: 0.2091 0.5000 0.4141
As: 0.7091 0.0000 0.4141

Output
The calculation puts the energy relative to the lowest polymorph listed for this composition at 71 meV/atom. The total energy is -3.09 eV per atom. Its space group is No. 8.


Tl2In2As: optimized geometry, PBE.

abc: 7.6945 7.6945 5.0124
angles: 90.00 90.00 90.00
Fractional positions:
Tl: 0.1462 0.3538 0.0000
Tl: 0.3538 0.8538 0.0000
Tl: 0.6462 0.1462 0.0000
Tl: 0.8538 0.6462 0.0000
In: 0.1657 0.6657 0.5000
In: 0.3343 0.1657 0.5000
In: 0.6657 0.8343 0.5000
In: 0.8343 0.3343 0.5000
As: 0.0000 0.0000 0.0000
As: 0.5000 0.5000 0.0000

Output
The total energy is -2.79 eV per atom. Its space group is No. 127.


Asked for calculated formation energy across the records above, the calculation gives 5.9, 5.8, 1.1, 3.0, 0.8, 4.1 kcal/mol of atoms in order.